No. 1
TbDy3Y8: optimized geometry, PBE.

Values from the calculation:
Energy: -5.180 eV/atom
Calculated formation energy: 0.666 eV per atom
DOS at the Fermi energy: 1.676 states/eV/atom
Size of the total moment: 0.00 μB/f.u.
Space-group type: I-42m (121)

Cell lengths 8.3844, 8.3844, 8.3844 Å; angles 94.38, 117.51, 117.51 degrees
Last column: nearest neighbours and their distance in Å.
Sites, in units of the cell vectors:
Tb  0.0000  0.0000  0.0000  8 Y 3.08-3.25
Dy  0.5000  0.7500  0.2500  4 Y 3.43
Dy  0.5000  0.2500  0.7500  4 Y 3.43
Dy  0.0000  0.5000  0.5000  8 Y 3.07-3.25
Y  0.5006  0.2508  0.2508  1 Dy 3.07, 1 Tb 3.08, 2 Y 3.23
Y  0.4994  0.7501  0.7501  1 Dy 3.07, 1 Tb 3.08, 2 Y 3.23
Y  0.0000  0.7492  0.2499  1 Dy 3.07, 1 Tb 3.08, 2 Y 3.23
Y  0.0000  0.2499  0.7492  1 Dy 3.07, 1 Tb 3.08, 2 Y 3.23
Y  0.2532  0.3768  0.3768  3 Y 3.11-3.23, 3 Dy 3.25-3.43, 1 Tb 3.25
Y  0.7468  0.1236  0.1236  3 Y 3.11-3.23, 3 Dy 3.25-3.43, 1 Tb 3.25
Y  0.0000  0.6232  0.8764  3 Y 3.11-3.23, 3 Dy 3.25-3.43, 1 Tb 3.25
Y  0.0000  0.8764  0.6232  3 Y 3.11-3.23, 3 Dy 3.25-3.43, 1 Tb 3.25

No. 2
Nd2LuP: optimized geometry, PBE.

Values from the calculation:
Energy: -5.301 eV/atom
Calculated formation energy: -0.434 eV per atom
DOS at the Fermi energy: 1.256 states/eV/atom
Size of the total moment: 0.00 μB/f.u.
Space-group type: R-3m (166)

Cell lengths 3.8459, 3.8459, 10.4246 Å; angles 79.37, 79.37, 60.00 degrees
Last column: nearest neighbours and their distance in Å.
Sites, in units of the cell vectors:
P  0.5000  0.5000  0.5000  6 Nd 2.79
Lu  0.0000  0.0000  0.0000  2 Nd 3.40
Nd  0.1113  0.1113  0.6662  3 P 2.79
Nd  0.8887  0.8887  0.3338  3 P 2.79

No. 3
Ce12ErTh7: optimized geometry, PBE.

Values from the calculation:
Energy: -5.568 eV/atom
Calculated formation energy: 0.818 eV per atom
DOS at the Fermi energy: 3.588 states/eV/atom
Size of the total moment: 13.16 μB/f.u.
Space-group type: Im-3 (204)

Cell lengths 9.5808, 9.5808, 9.5808 Å; angles 109.47, 109.47, 109.47 degrees
Last column: nearest neighbours and their distance in Å.
Sites, in units of the cell vectors:
Ce  0.4961  0.7006  0.7955  3 Th 2.86-3.17
Ce  0.9051  0.7006  0.2045  3 Th 2.86-3.17
Ce  0.5039  0.2994  0.2045  3 Th 2.86-3.17
Ce  0.0949  0.2994  0.7955  3 Th 2.86-3.17
Ce  0.7955  0.0949  0.2994  3 Th 2.86-3.17
Ce  0.7955  0.4961  0.7006  3 Th 2.86-3.17
Ce  0.2045  0.9051  0.7006  3 Th 2.86-3.17
Ce  0.2045  0.5039  0.2994  3 Th 2.86-3.17
Ce  0.7006  0.7955  0.4961  3 Th 2.86-3.17
Ce  0.2994  0.2045  0.5039  3 Th 2.86-3.17
Ce  0.7006  0.2045  0.9051  3 Th 2.86-3.17
Ce  0.2994  0.7955  0.0949  3 Th 2.86-3.17
Er  0.0000  0.0000  0.0000  12 Ce 4.01
Th  0.5000  0.5000  0.0000  4 Ce 3.17
Th  0.0000  0.5000  0.5000  4 Ce 3.17
Th  0.5000  0.0000  0.5000  4 Ce 3.17
Th  0.5000  0.5000  0.5000  6 Ce 2.86
Th  0.0000  0.0000  0.5000  6 Ce 2.86
Th  0.5000  0.0000  0.0000  6 Ce 2.86
Th  0.0000  0.5000  0.0000  6 Ce 2.86

No. 4
CsSr3Si: optimized geometry, PBE.

Values from the calculation:
Energy above the most stable polymorph in this dataset: 6.52 eV per formula unit
Energy: -0.999 eV/atom
DOS at the Fermi energy: 1.515 states/eV/atom
Size of the total moment: 0.00 μB/f.u.
Uncorrected formation energy: 1.265 eV/atom
Space-group type: Pm-3m (221)

Cell lengths 6.0612, 6.0612, 6.0612 Å; angles 90.00, 90.00, 90.00 degrees
Last column: nearest neighbours and their distance in Å.
Sites, in units of the cell vectors:
Cs  0.0000  0.0000  0.0000  6 Sr 3.03
Sr  0.0000  0.5000  0.0000  2 Cs 3.03
Sr  0.0000  0.0000  0.5000  2 Cs 3.03
Sr  0.5000  0.0000  0.0000  2 Cs 3.03
Si  0.5000  0.5000  0.5000  12 Sr 4.29

No. 5
KCa2CrBr8: optimized geometry, PBE.

Values from the calculation:
Energy: -3.822 eV/atom
Size of the total moment: 2.99 μB/f.u.
Uncorrected formation energy: -1.479 eV/atom
Space-group type: P2/m (10)

Cell lengths 6.7538, 6.5162, 8.9115 Å; angles 89.96, 89.98, 89.03 degrees
Last column: nearest neighbours and their distance in Å.
Sites, in units of the cell vectors:
K  0.0000  0.0000  0.5000  6 Br 3.08-3.22
Ca  0.5000  0.4998  0.7547  6 Br 2.87-3.08
Ca  0.5000  0.5002  0.2453  6 Br 2.87-3.08
Cr  0.0000  0.0000  0.0000  6 Br 2.52-2.63
Br  0.1526  0.7733  0.2000  1 Cr 2.52
Br  0.6865  0.7668  0.9998  1 Cr 2.63
Br  0.8468  0.2263  0.1999  1 Cr 2.52
Br  0.8474  0.2267  0.8000  1 Cr 2.52
Br  0.3135  0.2332  0.0002  1 Cr 2.63
Br  0.1532  0.7737  0.8001  1 Cr 2.52
Br  0.6290  0.7305  0.4999  2 Ca 2.87, 1 K 3.08
Br  0.3710  0.2695  0.5001  2 Ca 2.87, 1 K 3.08

No. 6
TmSc2In: optimized geometry, PBE.

Values from the calculation:
Energy above the most stable polymorph in this dataset: 0.54 eV per formula unit
Energy: -5.097 eV/atom
Calculated formation energy: -0.128 eV per atom
DOS at the Fermi energy: 1.373 states/eV/atom
Size of the total moment: 0.02 μB/f.u.
Space-group type: Cmcm (63)

Cell lengths 3.2366, 6.3421, 9.9125 Å; angles 90.00, 90.00, 104.78 degrees
Last column: nearest neighbours and their distance in Å.
Sites, in units of the cell vectors:
Tm  0.2628  0.5256  0.2500  6 Sc 3.03-3.22, 2 Tm 3.24, 3 In 3.28
Tm  0.7372  0.4744  0.7500  6 Sc 3.03-3.22, 2 Tm 3.24, 3 In 3.28
Sc  0.3722  0.7444  0.9756  3 Tm 3.03-3.22, 3 Sc 3.17-3.24, 2 In 3.20
Sc  0.6278  0.2556  0.0244  3 Tm 3.03-3.22, 3 Sc 3.17-3.24, 2 In 3.20
Sc  0.6278  0.2556  0.4756  3 Tm 3.03-3.22, 3 Sc 3.17-3.24, 2 In 3.20
Sc  0.3722  0.7444  0.5244  3 Tm 3.03-3.22, 3 Sc 3.17-3.24, 2 In 3.20
In  0.9953  0.9906  0.2500  8 Sc 3.20-3.51, 2 In 3.24, 3 Tm 3.28
In  0.0047  0.0094  0.7500  8 Sc 3.20-3.51, 2 In 3.24, 3 Tm 3.28